# PuHfMnIr (GGA-PBE, optimized geometry)
# Spin magnetization (μB per cell): 12.276
# Formation energy from the elements (meV per atom): -319
data_PuHfMnIr
_chemical_formula_sum 'Pu4 Hf4 Mn4 Ir4'
_cell_length_a 6.630
_cell_length_b 6.630
_cell_length_c 6.630
_cell_angle_alpha 90.00
_cell_angle_beta 90.00
_cell_angle_gamma 90.00
_space_group_name_H-M_alt 'F -4 3 m'
_space_group_IT_number 216
_space_group_name_Hall 'F -4 2 3'
loop_
_atom_site_label
_atom_site_type_symbol
_atom_site_fract_x
_atom_site_fract_y
_atom_site_fract_z
Pu1 Pu 0.000 0.000 0.000
Hf1 Hf 0.000 0.000 0.500
Mn1 Mn 0.250 0.250 0.250
Ir1 Ir 0.250 0.250 0.750

---

# HfSc2MnIr (GGA-PBE, optimized geometry)
# Spin magnetization (μB per cell): 0.031
# Formation energy from the elements (meV per atom): 1476
data_HfSc2MnIr
_chemical_formula_sum 'Hf1 Sc2 Mn1 Ir1'
_cell_length_a 5.059
_cell_length_b 5.059
_cell_length_c 4.723
_cell_angle_alpha 90.00
_cell_angle_beta 90.00
_cell_angle_gamma 90.00
_space_group_name_H-M_alt 'P 4/m m m'
_space_group_IT_number 123
_space_group_name_Hall '-P 4 2'
loop_
_atom_site_label
_atom_site_type_symbol
_atom_site_fract_x
_atom_site_fract_y
_atom_site_fract_z
Hf1 Hf 0.000 0.000 0.000
Sc1 Sc 0.000 0.500 0.000
Mn1 Mn 0.500 0.500 0.500
Ir1 Ir 0.000 0.000 0.500

---

# HfMnTe2Ir (GGA-PBE, optimized geometry)
# Uncorrected formation energy (meV/atom): 1356
# Spin magnetization (μB per cell): 0.316
data_HfMnTe2Ir
_chemical_formula_sum 'Hf1 Mn1 Te2 Ir1'
_cell_length_a 5.451
_cell_length_b 5.451
_cell_length_c 4.863
_cell_angle_alpha 90.00
_cell_angle_beta 90.00
_cell_angle_gamma 90.00
_space_group_name_H-M_alt 'P 4/m m m'
_space_group_IT_number 123
_space_group_name_Hall '-P 4 2'
loop_
_atom_site_label
_atom_site_type_symbol
_atom_site_fract_x
_atom_site_fract_y
_atom_site_fract_z
Hf1 Hf 0.000 0.000 0.000
Mn1 Mn 0.500 0.500 0.500
Te1 Te 0.000 0.500 0.000
Ir1 Ir 0.000 0.000 0.500

---

Which value of spin magnetization does entry 2 give? 0.031 μB per cell